No. 1
Material: Sm2ScTl
Method: DFT, PBE
State: optimized geometry

```
Sm2ScTl
1.0
-2.674 -2.685 0.572
2.039 -0.966 4.998
-3.357 3.791 2.103
Sc Sm Tl
1 2 1
Cartesian
-1.996 0.070 3.836 Sc
1.020 -0.483 2.499 Sm
-1.679 1.896 1.052 Sm
-1.337 -1.343 0.286 Tl
```

Computed properties:
**Space group**: P4/mmm (123)
**E above lowest polymorph**: 63 meV/atom
**VASP energy**: -4.6442 eV/atom
**Formation enthalpy at 0 K**: -110 meV/atom



No. 2
Material: Sm7Sc2Tl2
Method: DFT, PBE
State: optimized geometry

```
Sm7Sc2Tl2
1.0
-1.589 2.665 -1.824
2.956 -3.001 -10.510
-5.690 -6.166 -7.604
Sc Sm Tl
2 7 2
Cartesian
-3.040 -3.573 -9.673 Sc
0.483 -3.906 -9.679 Sc
-1.252 -1.492 -8.190 Sm
-5.150 -4.193 -12.292 Sm
-1.538 -4.450 -12.262 Sm
-3.494 -7.636 -15.215 Sm
-6.136 -4.706 -8.632 Sm
-3.266 -3.808 -6.269 Sm
-2.712 0.444 -4.089 Sm
-2.315 -4.596 -15.350 Tl
-0.143 -1.224 -5.215 Tl
```

Computed properties:
**Space group**: Imm2 (44)
**VASP energy**: -4.5959 eV/atom
**Formation enthalpy at 0 K**: -11 meV/atom



No. 3
Material: SmSc3Tl4
Method: DFT, PBE
State: optimized geometry

```
SmSc3Tl4
1.0
-1.830 4.548 -1.742
-5.568 -3.491 -3.268
-5.708 1.014 8.642
Tl Sc Sm
8 6 2
Cartesian
-5.607 -0.066 5.703 Tl
-7.499 2.137 -2.070 Tl
-2.239 1.444 -1.648 Tl
-8.526 -1.896 3.990 Tl
-5.093 1.951 2.673 Tl
-4.580 3.967 -0.357 Tl
-8.012 0.120 0.960 Tl
-5.158 -0.387 -3.361 Tl
-7.981 1.292 3.976 Sc
0.000 0.000 0.000 Sc
-2.340 2.523 1.291 Sc
-2.854 0.507 4.321 Sc
-5.198 3.039 5.609 Sc
-5.125 0.779 -0.343 Sc
-2.784 -1.746 -1.634 Sm
-5.638 -1.239 2.687 Sm
```

Computed properties:
**Space group**: P4/mmm (123)
**VASP energy**: -4.4212 eV/atom
**Formation enthalpy at 0 K**: -274 meV/atom



No. 4
Material: SmSc5Tl3
Method: DFT, PBE
State: optimized geometry

```
SmSc5Tl3
1.0
6.394 0.000 0.000
0.000 8.897 0.000
0.000 -4.448 7.704
Sc Tl Sm
10 6 2
Cartesian
4.796 2.962 0.000 Sc
4.796 -1.481 2.565 Sc
0.000 0.000 5.136 Sc
3.197 0.000 5.136 Sc
1.599 1.481 2.565 Sc
0.000 4.448 2.568 Sc
4.796 2.967 5.139 Sc
1.599 5.935 0.000 Sc
1.599 5.929 5.139 Sc
3.197 4.448 2.568 Sc
4.796 -2.931 5.077 Tl
1.599 3.034 0.000 Tl
4.796 5.862 0.000 Tl
4.796 1.517 2.627 Tl
1.599 2.931 5.077 Tl
1.599 7.380 2.627 Tl
3.197 0.000 0.000 Sm
0.000 0.000 0.000 Sm
```

Computed properties:
**Space group**: P6_3/mcm (193)
**VASP energy**: -5.0891 eV/atom
**Formation enthalpy at 0 K**: -258 meV/atom



No. 5
Material: Sm2ScTl
Method: DFT, PBE
State: optimized geometry

```
Sm2ScTl
1.0
5.450 0.000 0.000
2.725 4.720 0.000
2.725 1.573 4.450
Tl Sc Sm
1 1 2
Cartesian
5.450 3.147 2.225 Tl
0.000 0.000 0.000 Sc
8.175 4.720 3.337 Sm
2.725 1.573 1.112 Sm
```

Computed properties:
**Space group**: Fm-3m (225)
**E above lowest polymorph**: 97 meV/atom
**VASP energy**: -4.6100 eV/atom
**Formation enthalpy at 0 K**: -76 meV/atom



No. 6
Material: Sm4ScTl
Method: DFT, PBE
State: optimized geometry

```
Sm4ScTl
1.0
3.505 0.000 0.000
0.000 9.519 0.014
0.000 -0.009 5.725
Sm Tl Sc
4 1 1
Cartesian
0.000 1.764 2.865 Sm
1.752 6.556 5.734 Sm
1.752 2.954 0.005 Sm
0.000 7.746 2.873 Sm
0.000 0.000 0.000 Tl
1.752 4.755 2.869 Sc
```

Computed properties:
**Space group**: Pmmm (47)
**E above lowest polymorph**: 57 meV/atom
**VASP energy**: -4.5229 eV/atom
**Formation enthalpy at 0 K**: 73 meV/atom



Question: Look up the formation enthalpy at 0 K of the fourth one.
Answer: -258 meV/atom



Question: What is the formula in the third record?
Answer: SmSc3Tl4